No. 1
Dy4BiRh | PBE | relaxed

Size of the total moment: 0.00 μB/f.u.
Polymorph energy (0 for the lowest one): 42.5 meV per atom
Calculated total energy: -0.4057 Ry/atom
ΔH_f (0 K): -0.58 eV per atom

Cell and atoms, written as POSCAR:
```
Dy4BiRh
1.0
-2.4693 2.4472 4.9760
-5.6548 -5.7827 -3.0447
6.9281 -3.1247 2.8135
Dy Bi Rh
8 2 2
direct
0.0521 0.2051 0.8518
0.7858 0.7171 0.6571
0.2997 0.6467 0.8518
0.3713 0.9400 0.6571
0.6287 0.0600 0.3429
0.7003 0.3533 0.1482
0.2142 0.2829 0.3429
0.9479 0.7949 0.1482
0.3757 0.6257 0.2514
0.6243 0.3743 0.7486
0.2496 0.9996 0.9991
0.7504 0.0004 0.0009
```

---

No. 2
Tm2HgO2 | PBE | relaxed

Size of the total moment: 0.00 μB/f.u.
Uncorrected formation energy: -2.565 eV/atom
Calculated total energy: -0.4702 Ry/atom

Cell and atoms, written as POSCAR:
```
Tm2HgO2
1.0
3.6812 0.0000 -1.3754
-0.5139 3.6451 -1.3754
0.3134 0.3607 6.4525
Tm Hg O
2 1 2
direct
0.6610 0.6610 0.3221
0.3390 0.3390 0.6779
0.0000 0.0000 0.0000
0.7500 0.2500 0.5000
0.2500 0.7500 0.5000
```

---

No. 3
Ac2Al4PdAu3 | PBE | relaxed

Size of the total moment: 0.00 μB/f.u.
Calculated total energy: -0.3371 Ry/atom
ΔH_f (0 K): -0.76 eV per atom

Cell and atoms, written as POSCAR:
```
Ac2Al4PdAu3
1.0
-1.3835 -4.3212 -0.2803
4.3258 -1.3924 0.1156
-0.4536 -0.5367 10.5127
Ac Al Pd Au
2 4 1 3
direct
0.5000 0.0000 0.2538
0.0000 0.5000 0.7462
0.5000 0.5000 0.0000
0.0000 0.0000 0.0000
0.5000 0.0000 0.6196
0.0000 0.5000 0.3804
0.5000 0.5000 0.5000
0.0000 0.0000 0.5000
0.5000 0.0000 0.8686
0.0000 0.5000 0.1314
```

---

No. 4
CsHf2SiCl | PBE | relaxed

Size of the total moment: 0.00 μB/f.u.
Uncorrected formation energy: 0.897 eV/atom
Calculated total energy: -0.3461 Ry/atom

Cell and atoms, written as POSCAR:
```
CsHf2SiCl
1.0
-2.1807 -2.2287 3.7989
2.0923 -4.8092 -1.6204
3.9861 0.8043 2.7601
Cs Si Hf Cl
1 1 2 1
direct
0.5000 0.5000 0.5000
0.0000 0.5000 0.0000
0.0000 0.0000 0.5000
0.5000 0.0000 0.0000
0.0000 0.0000 0.0000
```

---

No. 5
PuHfPt2 | PBE | relaxed

Size of the total moment: 5.74 μB/f.u.
Polymorph energy (0 for the lowest one): 0.0 meV per atom
Calculated total energy: -0.7345 Ry/atom
ΔH_f (0 K): -0.90 eV per atom

Cell and atoms, written as POSCAR:
```
PuHfPt2
1.0
-1.3671 0.7541 -2.9227
2.5004 -1.5145 -1.5603
-3.7492 -6.3174 0.1237
Hf Pt Pu
1 2 1
direct
0.5000 0.5000 0.0000
0.0000 0.0000 0.7918
0.0000 0.0000 0.2082
0.5000 0.5000 0.5000
```

---

No. 6
Ca2Al3PtAu12 | PBE | relaxed

Size of the total moment: 0.00 μB/f.u.
Calculated total energy: -0.2566 Ry/atom
ΔH_f (0 K): -0.12 eV per atom

Cell and atoms, written as POSCAR:
```
Ca2Al3PtAu12
1.0
8.1385 -0.2437 -0.1729
3.8073 7.1971 -0.1729
3.8073 2.2161 6.8496
Ca Al Pt Au
2 3 1 12
direct
0.6147 0.6147 0.6147
0.3853 0.3853 0.3853
0.5000 0.0000 0.0000
0.0000 0.5000 0.0000
0.0000 0.0000 0.5000
0.0000 0.0000 0.0000
0.3617 0.3617 0.8881
0.8673 0.8673 0.3804
0.3804 0.8673 0.8673
0.8881 0.3617 0.3617
0.8673 0.3804 0.8673
0.3617 0.8881 0.3617
0.6383 0.6383 0.1119
0.1327 0.1327 0.6196
0.6196 0.1327 0.1327
0.1119 0.6383 0.6383
0.1327 0.6196 0.1327
0.6383 0.1119 0.6383
```

---

No. 7
AlTcHg2 | PBE | relaxed

Size of the total moment: 0.00 μB/f.u.
Calculated total energy: -0.2463 Ry/atom
ΔH_f (0 K): 0.33 eV per atom

Cell and atoms, written as POSCAR:
```
AlTcHg2
1.0
5.5601 -0.0919 0.3680
4.5744 3.1620 0.3680
1.5364 0.4654 4.1930
Al Hg Tc
1 2 1
direct
0.7784 0.7784 0.7206
0.0121 0.0121 0.9886
0.2353 0.2353 0.2643
0.4743 0.4743 0.5265
```

---

No. 8
DyInAs2O8 | PBE | relaxed

Size of the total moment: 0.00 μB/f.u.
Uncorrected formation energy: -1.836 eV/atom
Calculated total energy: -0.4798 Ry/atom

Cell and atoms, written as POSCAR:
```
DyInAs2O8
1.0
-0.5502 -0.7481 4.8935
3.6858 -3.3488 -0.0976
2.1961 6.1604 -1.3461
Dy In As O
1 1 2 8
direct
0.7500 0.2500 0.5000
0.0000 0.0000 0.0000
0.5000 0.5000 0.0000
0.2500 0.7500 0.5000
0.7364 0.8336 0.1558
0.4194 0.3222 0.1558
0.5826 0.6750 0.6591
0.0766 0.9841 0.6591
0.0159 0.4174 0.3409
0.3250 0.9234 0.3409
0.1664 0.5806 0.8442
0.6778 0.2636 0.8442
```